VASP calculation (PBE+U) on a relaxed W2ClO crystal.

Output
Crystal system: cubic
Raw total energy (eV/atom): -3.956
SG: Fm-3m, No. 225
Distance to the lowest polymorph of the same formula (eV per formula unit): 2.930
DOS at the Fermi energy (states/eV/cell): 1.4

Cell lengths 4.3330, 4.3330, 4.3330 Å; angles 60.00, 60.00, 60.00 degrees
Closest atoms and distances in Å follow each position.
Sites, in units of the cell vectors:
W  0.2500  0.2500  0.2500  4 O 2.65, 4 Cl 2.65
W  0.7500  0.7500  0.7500  4 O 2.65, 4 Cl 2.65
Cl  0.0000  0.0000  0.0000  8 W 2.65
O  0.5000  0.5000  0.5000  8 W 2.65